[1]
4
Lattice="0.0000 3.0397 3.0397 3.0397 0.0000 3.0397 3.0397 3.0397 0.0000" Properties=species:S:1:pos:R:3 comment="SiNiPt2 (PBE, relaxed)" density_g_cm3=14.10 energy_ev_per_atom=-5.9925 pbc="T T T"
Si 0.0000 0.0000 0.0000
Ni 1.5198 1.5198 1.5198
Pt 3.0397 3.0397 3.0397
Pt 4.5595 4.5595 4.5595



[2]
9
Lattice="5.5437 -2.1361 0.0000 5.5437 2.1361 0.0000 -2.1036 0.0000 8.1359" Properties=species:S:1:pos:R:3 comment="Sm3Ge4Rh2 (PBE, relaxed)" density_g_cm3=8.16 energy_ev_per_atom=-6.0900 pbc="T T T"
Sm 0.0000 0.0000 0.0000
Sm 2.9511 0.0000 2.7903
Sm 6.0327 0.0000 5.3456
Ge -0.2372 0.0000 3.1106
Ge 1.1018 0.0000 7.5748
Ge 7.8819 0.0000 0.5611
Ge 9.2209 0.0000 5.0253
Rh 2.8877 0.0000 5.9075
Rh 6.0960 0.0000 2.2284



[3]
8
Lattice="2.5667 -4.7482 0.0000 2.5667 4.7482 0.0000 -1.3347 0.0000 4.9544" Properties=species:S:1:pos:R:3 comment="PuTcO6 (PBE, relaxed)" density_g_cm3=6.02 energy_ev_per_atom=-8.5748 pbc="T T T"
Pu 0.0000 0.0000 0.0000
Tc 1.8994 0.0000 2.4772
O 0.9370 1.2525 1.2210
O 0.4678 0.0000 3.5737
O 0.9370 -1.2525 1.2210
O 2.8618 1.2525 3.7334
O 3.3309 0.0000 1.3806
O 2.8618 -1.2525 3.7334



[4]
9
Lattice="4.3789 0.0000 0.0000 0.0000 4.3789 0.0000 0.0000 0.0000 9.3758" Properties=species:S:1:pos:R:3 comment="AcNdAs2Pd5 (PBE, relaxed)" density_g_cm3=9.73 energy_ev_per_atom=-5.7078 pbc="T T T"
Ac 0.0000 0.0000 0.0000
Nd 0.0000 0.0000 4.6879
As 2.1894 2.1894 3.3962
As 2.1894 2.1894 5.9797
Pd 0.0000 2.1894 2.1820
Pd 0.0000 2.1894 7.1938
Pd 2.1894 0.0000 2.1820
Pd 2.1894 0.0000 7.1938
Pd 2.1894 2.1894 0.0000



[5]
10
Lattice="4.5624 0.0000 0.0000 0.0000 4.5624 0.0000 0.0000 0.0000 11.6942" Properties=species:S:1:pos:R:3 comment="Ac2In4AgPt3 (PBE, relaxed)" density_g_cm3=10.96 energy_ev_per_atom=-4.6852 pbc="T T T"
Ac 0.0000 2.2812 2.8437
Ac 2.2812 0.0000 8.8505
In 0.0000 0.0000 0.0000
In 0.0000 2.2812 7.3697
In 2.2812 0.0000 4.3245
In 2.2812 2.2812 0.0000
Ag 0.0000 0.0000 5.8471
Pt 0.0000 2.2812 10.0732
Pt 2.2812 0.0000 1.6210
Pt 2.2812 2.2812 5.8471



[6]
13
Lattice="5.9932 -3.5324 0.0000 5.9932 3.5324 0.0000 -5.8916 0.0000 6.1503" Properties=species:S:1:pos:R:3 comment="Er8C5 (PBE, relaxed)" density_g_cm3=8.92 energy_ev_per_atom=-6.6413 pbc="T T T"
Er -1.5437 1.8569 5.1309
Er -1.6438 0.0000 1.9581
Er 7.6384 1.8569 1.0194
Er 1.7366 0.0000 4.0877
Er 4.3581 0.0000 2.0626
Er -1.5437 -1.8569 5.1309
Er 7.7386 0.0000 4.1922
Er 7.6384 -1.8569 1.0194
C 0.0000 0.0000 0.0000
C 3.0474 1.7189 3.0751
C 3.2142 0.0000 0.0168
C 2.8806 0.0000 6.1335
C 3.0474 -1.7189 3.0751



[7]
5
Lattice="2.9523 -2.9637 0.0000 2.9523 2.9637 0.0000 -2.8884 0.0000 5.2261" Properties=species:S:1:pos:R:3 comment="ErAlZn3 (PBE, relaxed)" density_g_cm3=7.09 energy_ev_per_atom=-2.7206 pbc="T T T"
Er 0.0000 0.0000 0.0000
Al 0.0599 0.0000 4.0171
Zn 1.5084 1.5068 2.5812
Zn 2.9573 0.0000 1.1994
Zn 1.5084 -1.5068 2.5812



[8]
4
Lattice="2.8062 0.0000 0.0000 0.0000 4.0654 0.0000 0.0000 0.0000 4.5352" Properties=species:S:1:pos:R:3 comment="BeFeIr2 (PBE, relaxed)" density_g_cm3=14.42 energy_ev_per_atom=-7.4822 pbc="T T T"
Be 0.0000 0.0000 0.0000
Fe 1.4031 0.0000 2.2676
Ir 0.0000 2.0327 2.2676
Ir 1.4031 2.0327 0.0000



[9]
4
Lattice="0.0000 3.3453 3.3453 3.3453 0.0000 3.3453 3.3453 3.3453 0.0000" Properties=species:S:1:pos:R:3 comment="LuPuNiRu (PBE, relaxed)" density_g_cm3=12.83 energy_ev_per_atom=-8.7441 pbc="T T T"
Lu 0.0000 0.0000 0.0000
Pu 3.3453 3.3453 3.3453
Ni 5.0180 5.0180 5.0180
Ru 1.6727 1.6727 1.6727



[10]
5
Lattice="6.9620 0.0000 0.0000 0.0000 6.9620 0.0000 0.0000 0.0000 5.1604" Properties=species:S:1:pos:R:3 comment="Rb2NaZnCd (PBE, relaxed)" density_g_cm3=2.47 energy_ev_per_atom=-0.9690 pbc="T T T"
Rb 0.0000 3.4810 0.0000
Rb 3.4810 0.0000 0.0000
Na 0.0000 0.0000 2.5802
Zn 3.4810 3.4810 0.0000
Cd 3.4810 3.4810 2.5802



[11]
5
Lattice="4.3003 0.0000 0.0000 0.0000 4.3003 0.0000 0.0000 0.0000 4.3003" Properties=species:S:1:pos:R:3 comment="Ni3WBr (PBE, relaxed)" density_g_cm3=9.18 energy_ev_per_atom=-4.9183 pbc="T T T"
Ni 0.0000 0.0000 2.1501
Ni 0.0000 2.1501 0.0000
Ni 2.1501 0.0000 0.0000
W 2.1501 2.1501 2.1501
Br 0.0000 0.0000 0.0000



[12]
5
Lattice="4.7827 0.0000 0.0000 0.0000 4.7827 0.0000 0.0000 0.0000 4.7827" Properties=species:S:1:pos:R:3 comment="Ti3NbAg (PBE, relaxed)" density_g_cm3=5.23 energy_ev_per_atom=-6.3218 pbc="T T T"
Ti 0.0000 0.0000 2.3913
Ti 0.0000 2.3913 0.0000
Ti 2.3913 0.0000 0.0000
Nb 0.0000 0.0000 0.0000
Ag 2.3913 2.3913 2.3913



[13]
4
Lattice="1.4903 -2.8627 0.0000 1.4903 2.8627 0.0000 0.0000 0.0000 9.5238" Properties=species:S:1:pos:R:3 comment="Ta2PbCl (PBE, relaxed)" density_g_cm3=12.35 energy_ev_per_atom=-6.7864 pbc="T T T"
Ta 0.0000 0.0000 2.2117
Ta 0.0000 0.0000 7.3120
Pb 1.4903 0.0000 4.7619
Cl 1.4903 0.0000 0.0000



[14]
4
Lattice="1.4052 0.8113 8.9748 -1.4052 0.8113 8.9748 0.0000 -1.6226 8.9748" Properties=species:S:1:pos:R:3 comment="ScCuIr2 (PBE, relaxed)" density_g_cm3=13.33 energy_ev_per_atom=-6.9642 pbc="T T T"
Sc 0.0000 0.0000 0.0000
Cu 0.0000 0.0000 6.6533
Ir 0.0000 0.0000 13.5024
Ir 0.0000 0.0000 20.2812



[15]
8
Lattice="7.6855 0.0000 0.0000 0.0000 4.4845 0.0000 -2.6061 0.0000 7.2497" Properties=species:S:1:pos:R:3 comment="Sr2AcPbSe4 (PBE, relaxed)" density_g_cm3=6.15 energy_ev_per_atom=-4.7385 pbc="T T T"
Sr 0.0000 0.0000 0.0000
Sr 3.8428 2.2423 0.0000
Ac -1.3030 2.2423 3.6248
Pb 2.5397 0.0000 3.6248
Se 1.2685 2.2423 1.8232
Se -0.0274 0.0000 5.4499
Se 5.1068 0.0000 1.7998
Se 3.8109 2.2423 5.4264



[16]
16
Lattice="7.2341 0.0000 0.0000 0.0000 8.5869 0.0000 -2.5258 0.0000 6.7218" Properties=species:S:1:pos:R:3 comment="SmTh3Se4 (PBE, relaxed)" density_g_cm3=9.24 energy_ev_per_atom=-6.7201 pbc="T T T"
Sm -0.6314 1.0598 1.6805
Sm -1.8943 7.5271 5.0414
Th -1.8943 3.2243 5.0414
Th -0.6314 5.3626 1.6805
Th 1.7227 1.0812 5.0414
Th 2.9856 3.2371 1.6805
Th 1.7227 5.3498 5.0414
Th 2.9856 7.5056 1.6805
Se 1.7836 1.0579 0.0065
Se 0.5288 3.1906 3.3390
Se -0.7341 5.3963 6.6999
Se 0.5207 7.5289 3.3674
Se 4.1876 1.0579 3.3544
Se 5.4424 3.1906 0.0219
Se 4.1795 5.3963 3.3828
Se 2.9247 7.5289 6.7153



[17]
11
Lattice="8.1015 0.0000 0.0000 0.0000 3.8955 0.0000 -2.9606 0.0000 8.8463" Properties=species:S:1:pos:R:3 comment="Pa2Cl5F4 (PBE, relaxed)" density_g_cm3=4.25 energy_ev_per_atom=-5.8811 pbc="T T T"
Pa 0.5158 0.0000 2.4712
Pa 4.6251 0.0000 6.3752
Cl -1.4803 0.0000 4.4232
Cl -1.3449 0.0000 7.7875
Cl 3.0345 0.0000 2.5713
Cl 2.1063 0.0000 6.2750
Cl 6.4857 0.0000 1.0588
F 0.7611 1.9477 1.2825
F 0.6642 1.9477 3.7008
F 4.4766 1.9477 5.1455
F 4.3798 1.9477 7.5638



[18]
6
Lattice="0.0000 3.5641 3.5641 3.5641 0.0000 3.5641 3.5641 3.5641 0.0000" Properties=species:S:1:pos:R:3 comment="TlCr4Cl (PBE, relaxed)" density_g_cm3=8.21 energy_ev_per_atom=-6.1811 pbc="T T T"
Tl 0.0000 0.0000 0.0000
Cr 2.7311 2.7311 2.7311
Cr 4.3971 4.3971 2.7311
Cr 4.3971 2.7311 4.3971
Cr 2.7311 4.3971 4.3971
Cl 5.3462 5.3462 5.3462



[19]
4
Lattice="1.4552 0.8402 9.3973 -1.4552 0.8402 9.3973 0.0000 -1.6803 9.3973" Properties=species:S:1:pos:R:3 comment="TaSe2F (PBE, relaxed)" density_g_cm3=8.62 energy_ev_per_atom=-5.0679 pbc="T T T"
Ta 0.0000 0.0000 0.0000
Se 0.0000 0.0000 2.6597
Se 0.0000 0.0000 25.5322
F 0.0000 0.0000 14.0960



[20]
6
Lattice="0.0000 3.9023 3.9023 3.9023 0.0000 3.9023 3.9023 3.9023 0.0000" Properties=species:S:1:pos:R:3 comment="LuAl4Hg (PBE, relaxed)" density_g_cm3=6.76 energy_ev_per_atom=-3.4097 pbc="T T T"
Lu 0.0000 0.0000 0.0000
Al 4.8851 2.9196 2.9196
Al 2.9196 4.8851 2.9196
Al 2.9196 2.9196 4.8851
Al 4.8851 4.8851 4.8851
Hg 1.9512 1.9512 1.9512



[21]
16
Lattice="5.4735 -6.1663 0.0000 5.4735 6.1663 0.0000 -3.9502 0.0000 9.6706" Properties=species:S:1:pos:R:3 comment="SrInSnBr5 (PBE, relaxed)" density_g_cm3=3.67 energy_ev_per_atom=-3.3110 pbc="T T T"
Sr 2.7368 3.0831 0.0000
Sr 0.7617 -3.0831 4.8353
In 2.5109 5.4756 7.2530
In 4.4860 -5.4756 2.4177
Sn 2.5109 0.0190 7.2530
Sn 4.4860 -0.0190 2.4177
Br 1.9378 0.2453 0.8470
Br 4.4860 3.7629 2.4177
Br -0.0373 -0.2453 5.6823
Br 1.5936 1.9737 8.9552
Br 3.4283 1.9737 5.5507
Br 3.5687 -1.9737 4.1199
Br 5.4033 -1.9737 0.7154
Br 7.0343 0.2453 3.9883
Br 2.5109 -3.7629 7.2530
Br 5.0592 -0.2453 8.8236



[22]
5
Lattice="5.6173 0.0000 0.0000 0.0000 5.6173 0.0000 0.0000 0.0000 6.2329" Properties=species:S:1:pos:R:3 comment="CsScTe2I (PBE, relaxed)" density_g_cm3=4.73 energy_ev_per_atom=-4.0363 pbc="T T T"
Cs 0.0000 0.0000 0.0000
Sc 2.8087 2.8087 3.1165
Te 0.0000 2.8087 3.1165
Te 2.8087 0.0000 3.1165
I 2.8087 2.8087 0.0000



[23]
4
Lattice="-1.9646 1.9646 3.9303 1.9646 -1.9646 3.9303 1.9646 1.9646 -3.9303" Properties=species:S:1:pos:R:3 comment="TcMo2Ir (PBE, relaxed)" density_g_cm3=13.19 energy_ev_per_atom=-10.2906 pbc="T T T"
Tc 0.0000 0.0000 0.0000
Mo 1.9646 0.0000 1.9652
Mo 0.0000 1.9646 1.9652
Ir 0.0000 0.0000 3.9303



[24]
3
Lattice="-1.7678 1.7678 8.3733 1.7678 -1.7678 8.3733 1.7678 1.7678 -8.3733" Properties=species:S:1:pos:R:3 comment="SrLaZr (PBE, relaxed)" density_g_cm3=5.04 energy_ev_per_atom=-4.7536 pbc="T T T"
Sr 0.0000 0.0000 0.0000
La 0.0000 0.0000 11.7301
Zr 0.0000 0.0000 5.6096



[25]
12
Lattice="2.7204 1.5706 8.4270 -2.7204 1.5706 8.4270 0.0000 -3.1413 8.4270" Properties=species:S:1:pos:R:3 comment="PuZn9In2 (PBE, relaxed)" density_g_cm3=8.17 energy_ev_per_atom=-2.6514 pbc="T T T"
Pu 0.0000 0.0000 0.0000
Zn -1.3683 -0.7900 10.5425
Zn 0.0000 0.0000 8.4010
Zn 0.0000 -1.5800 14.7385
Zn -1.3683 0.7900 14.7385
Zn 0.0000 0.0000 12.6405
Zn 1.3683 -0.7900 10.5426
Zn 0.0000 1.5800 10.5426
Zn 0.0000 0.0000 16.8801
Zn 1.3683 0.7900 14.7385
In 0.0000 0.0000 3.4861
In 0.0000 0.0000 21.7950



[26]
4
Lattice="3.4570 0.0000 0.0000 0.0000 3.5402 0.0000 0.0000 0.0000 9.2574" Properties=species:S:1:pos:R:3 comment="Th3Fe (PBE, relaxed)" density_g_cm3=11.02 energy_ev_per_atom=-7.4087 pbc="T T T"
Th 0.0000 0.0000 0.0000
Th 0.0000 1.7701 3.2298
Th 1.7285 1.7701 6.6367
Fe 1.7285 0.0000 4.6154